No. 1
The following is a DFT calculation (PBE) of a geometry-optimized Ca4PdPt2 structure.

## Properties
* E_form: -0.805 eV/atom

a = 4.9532 Å, b = 4.9532 Å, c = 24.1046 Å
α = 90.00°, β = 90.00°, γ = 120.00°
Space group R-3m (No. 166, hexagonal axes)
Asymmetric unit:
Ca 0.0000 0.0000 0.1240 x6
Ca 0.0000 0.0000 0.3744 x6
Pd 0.0000 0.0000 0.5000 x3
Pt 0.0000 0.0000 0.2492 x6

No. 2
The following is a DFT calculation (PBE) of a geometry-optimized CaPd2Pt structure.

## Properties
* relative energy among the computed polymorphs: 267 meV/atom
* E_form: -0.264 eV/atom

a = 4.0244 Å, b = 4.0244 Å, c = 19.1449 Å
α = 90.00°, β = 90.00°, γ = 90.00°
Space group I-42d (No. 122)
Asymmetric unit:
Ca 0.0000 0.0000 0.0000 x4
Pd 0.2256 0.2500 0.6250 x8
Pt 0.0000 0.0000 0.5000 x4

No. 3
The following is a DFT calculation (PBE) of a geometry-optimized Ca2Pd15Pt2 structure.

## Properties
* E_form: -0.187 eV/atom

a = 9.1563 Å, b = 9.1563 Å, c = 13.5989 Å
α = 90.00°, β = 90.00°, γ = 120.00°
Space group R-3m (No. 166, hexagonal axes)
Asymmetric unit:
Ca 0.0000 0.0000 0.1656 x6
Pd 0.0000 0.3011 0.5000 x18
Pd 0.0000 0.5000 0.0000 x9
Pd 0.0035 0.5017 0.6537 x18
Pt 0.0000 0.0000 0.4007 x6

No. 4
The following is a DFT calculation (PBE) of a geometry-optimized CaPdPt structure.

## Properties
* relative energy among the computed polymorphs: 177 meV/atom
* E_form: -0.654 eV/atom

a = 5.4267 Å, b = 4.6507 Å, c = 5.4860 Å
α = 90.00°, β = 117.63°, γ = 90.00°
Space group P2_1/m (No. 11)
Asymmetric unit:
Ca 0.2483 0.2500 0.4881 x2
Pd 0.0795 0.2500 0.9199 x2
Pt 0.3552 0.7500 0.9390 x2

Which density of states at the Fermi level belongs to each record? In order, 6.086 11.077 80.318 3.542 states/eV/cell.
Which magnetization belongs to each record? In order, 0.000 0.000 0.000 0.000 μB/f.u..